# 1
Here is a geometry-optimized CaPrEuMg structure from Alexandria. Energies are from PBE.

## Properties
DOS at the Fermi energy, states/eV/f.u.: 11.1
Electronic total energy, eV/atom: -4.62

Cell lengths 5.824, 5.824, 5.824 Å; angles 60.00, 60.00, 60.00 degrees
Site moments in Bohr magnetons follow the coordinates.
Element x y z (fractional)
Mg1 0.000 0.000 0.000  0.00
Ca1 0.500 0.500 0.500  0.04
Pr1 0.750 0.750 0.750  0.09
Eu1 0.250 0.250 0.250  6.92



# 2
Here is a geometry-optimized KZnNi3 structure from Alexandria. Energies are from PBE.

## Properties
DOS at the Fermi energy, states/eV/f.u.: 9.3
Energy above the most stable polymorph in this dataset, meV/atom: 0.0
Electronic total energy, eV/atom: -3.14

Cell lengths 4.569, 4.569, 4.569 Å; angles 90.00, 90.00, 90.00 degrees
Site moments in Bohr magnetons follow the coordinates.
Element x y z (fractional)
Ni1 0.500 0.000 0.000  0.06
Ni2 0.000 0.000 0.500  0.08
Ni3 0.000 0.500 0.000  0.08
K1 0.500 0.500 0.500  0.00
Zn1 0.000 0.000 0.000  0.00



# 3
Here is a geometry-optimized RbInGe4 structure from Alexandria. Energies are from PBE.

## Properties
DOS at the Fermi energy, states/eV/f.u.: 5.0
Electronic total energy, eV/atom: -3.49

Cell lengths 5.873, 5.873, 5.873 Å; angles 60.00, 60.00, 60.00 degrees
Element x y z (fractional)
Ge1 0.125 0.625 0.625
Ge2 0.625 0.625 0.125
Ge3 0.625 0.625 0.625
Ge4 0.625 0.125 0.625
Rb1 0.250 0.250 0.250
In1 0.000 0.000 0.000



# 4
Here is a geometry-optimized CeMnNb structure from Alexandria. Energies are from PBE.

## Properties
DOS at the Fermi energy, states/eV/f.u.: 3.7
Electronic total energy, eV/atom: -8.13

Cell lengths 3.900, 4.843, 6.404 Å; angles 90.00, 90.05, 90.00 degrees
Element x y z (fractional)
Mn1 0.250 0.250 0.171
Mn2 0.750 0.750 0.829
Ce1 0.250 0.750 0.597
Ce2 0.750 0.250 0.403
Nb1 0.750 0.250 0.909
Nb2 0.250 0.750 0.091



# 5
Here is a geometry-optimized Cr2CoSe structure from Alexandria. Energies are from PBE.

## Properties
Formation energy without anion corrections, eV/atom: 0.286
DOS at the Fermi energy, states/eV/f.u.: 4.0
Electronic total energy, eV/atom: -7.17

Cell lengths 2.849, 2.849, 6.106 Å; angles 90.00, 90.00, 90.00 degrees
Site moments in Bohr magnetons follow the coordinates.
Element x y z (fractional)
Cr1 0.000 0.000 0.499  -0.16
Cr2 0.000 0.000 0.001  -0.16
Se1 0.500 0.500 0.250  0.01
Co1 0.500 0.500 0.750  1.07



# 6
Here is a geometry-optimized LaCd3Bi structure from Alexandria. Energies are from PBE.

## Properties
DOS at the Fermi energy, states/eV/f.u.: 5.6
Energy above the most stable polymorph in this dataset, meV/atom: 0.0
Electronic total energy, eV/atom: -1.94

Cell lengths 5.609, 5.609, 5.609 Å; angles 90.00, 90.00, 90.00 degrees
Element x y z (fractional)
La1 0.500 0.500 0.500
Cd1 0.000 0.000 0.500
Cd2 0.000 0.500 0.000
Cd3 0.500 0.000 0.000
Bi1 0.000 0.000 0.000



# 7
Here is a geometry-optimized TaCuTe2 structure from Alexandria. Energies are from PBE.

## Properties
Formation energy without anion corrections, eV/atom: 0.771
DOS at the Fermi energy, states/eV/f.u.: 3.2
Electronic total energy, eV/atom: -4.79

Cell lengths 4.930, 4.930, 4.930 Å; angles 60.00, 60.00, 60.00 degrees
Site moments in Bohr magnetons follow the coordinates.
Element x y z (fractional)
Cu1 0.500 0.500 0.500  0.02
Te1 0.000 0.000 0.000  -0.03
Te2 0.250 0.250 0.250  -0.01
Ta1 0.750 0.750 0.750  0.46



# 8
Here is a geometry-optimized Mg3BeAl8O16 structure from Alexandria. Energies are from PBE.

## Properties
Formation energy without anion corrections, eV/atom: -2.953
DOS at the Fermi energy, states/eV/f.u.: 0.0
Electronic total energy, eV/atom: -7.16

Cell lengths 5.721, 5.721, 18.581 Å; angles 90.00, 90.00, 120.00 degrees
Element x y z (fractional)
Al1 0.000 0.000 0.318
Al2 0.502 0.004 0.203
Al3 0.502 0.498 0.203
Al4 0.165 0.835 0.448
Al5 0.996 0.498 0.203
Al6 0.330 0.165 0.948
Al7 0.498 0.502 0.703
Al8 0.333 0.667 0.575
Al9 0.670 0.835 0.448
Al10 0.667 0.333 0.075
Al11 0.000 0.000 0.818
Al12 0.835 0.670 0.948
Al13 0.835 0.165 0.948
Al14 0.498 0.996 0.703
Al15 0.004 0.502 0.703
Al16 0.165 0.330 0.448
O1 0.185 0.370 0.642
O2 0.333 0.667 0.152
O3 0.482 0.518 0.508
O4 0.667 0.333 0.652
O5 0.333 0.667 0.754
O6 0.333 0.667 0.393
O7 0.000 0.000 0.503
O8 0.148 0.852 0.889
O9 0.815 0.630 0.142
O10 0.821 0.642 0.765
O11 0.852 0.148 0.389
O12 0.185 0.815 0.642
O13 0.179 0.358 0.265
O14 0.036 0.518 0.508
O15 0.852 0.705 0.389
O16 0.148 0.295 0.889
O17 0.482 0.964 0.508
O18 0.518 0.482 0.008
O19 0.667 0.333 0.254
O20 0.518 0.036 0.008
O21 0.642 0.821 0.265
O22 0.179 0.821 0.265
O23 0.370 0.185 0.142
O24 0.000 0.000 0.003
O25 0.358 0.179 0.765
O26 0.295 0.148 0.389
O27 0.667 0.333 0.893
O28 0.630 0.815 0.642
O29 0.815 0.185 0.142
O30 0.705 0.852 0.889
O31 0.821 0.179 0.765
O32 0.964 0.482 0.008
Mg1 0.333 0.667 0.857
Mg2 0.000 0.000 0.108
Mg3 0.667 0.333 0.545
Mg4 0.333 0.667 0.045
Mg5 0.000 0.000 0.608
Mg6 0.667 0.333 0.357
Be1 0.333 0.667 0.308
Be2 0.667 0.333 0.808



# 9
Here is a geometry-optimized Ce3PaTc4 structure from Alexandria. Energies are from PBE.

## Properties
DOS at the Fermi energy, states/eV/f.u.: 6.1
Electronic total energy, eV/atom: -8.54

Cell lengths 7.391, 7.391, 7.391 Å; angles 64.81, 144.89, 127.42 degrees
Element x y z (fractional)
Tc1 0.831 0.835 0.667
Tc2 0.831 0.165 0.996
Tc3 0.124 0.292 0.831
Tc4 0.539 0.708 0.831
Ce1 0.331 0.257 0.589
Ce2 0.331 0.000 0.331
Ce3 0.331 0.743 0.074
Pa1 0.831 0.500 0.331



# 10
Here is a geometry-optimized GdHgPdPt structure from Alexandria. Energies are from PBE.

## Properties
DOS at the Fermi energy, states/eV/f.u.: 2.5
Electronic total energy, eV/atom: -7.11

Cell lengths 4.834, 4.834, 4.834 Å; angles 60.00, 60.00, 60.00 degrees
Site moments in Bohr magnetons follow the coordinates.
Element x y z (fractional)
Pd1 0.250 0.250 0.250  -0.01
Hg1 0.500 0.500 0.500  0.00
Pt1 0.750 0.750 0.750  0.00
Gd1 0.000 0.000 0.000  -6.97



# 11
Here is a geometry-optimized HfSn2Rh structure from Alexandria. Energies are from PBE.

## Properties
DOS at the Fermi energy, states/eV/f.u.: 3.0
Electronic total energy, eV/atom: -6.37

Cell lengths 4.200, 4.200, 10.400 Å; angles 78.35, 78.35, 90.00 degrees
Element x y z (fractional)
Sn1 0.375 0.389 0.750
Sn2 0.875 0.861 0.750
Sn3 0.611 0.125 0.250
Sn4 0.139 0.625 0.250
Hf1 0.000 0.000 0.000
Hf2 0.750 0.250 0.500
Rh1 0.250 0.750 0.500
Rh2 0.500 0.500 0.000



# 12
Here is a geometry-optimized Zn2Cr3GaSe8 structure from Alexandria. Energies are from PBE.

## Properties
Formation energy without anion corrections, eV/atom: -0.573
DOS at the Fermi energy, states/eV/f.u.: 2.5
Electronic total energy, eV/atom: -5.02

Cell lengths 7.536, 7.536, 7.536 Å; angles 59.88, 59.88, 59.88 degrees
Site moments in Bohr magnetons follow the coordinates.
Element x y z (fractional)
Se1 0.257 0.720 0.257  -0.06
Se2 0.743 0.743 0.280  -0.06
Se3 0.260 0.260 0.260  -0.10
Se4 0.280 0.743 0.743  -0.06
Se5 0.740 0.740 0.740  -0.10
Se6 0.720 0.257 0.257  -0.06
Se7 0.743 0.280 0.743  -0.06
Se8 0.257 0.257 0.720  -0.06
Zn1 0.876 0.876 0.876  0.02
Zn2 0.124 0.124 0.124  0.02
Cr1 0.500 0.500 0.000  2.94
Cr2 0.500 0.000 0.500  2.94
Cr3 0.000 0.500 0.500  2.94
Ga1 0.500 0.500 0.500  0.07



# 13
Here is a geometry-optimized PtO structure from Alexandria. Energies are from PBE.

## Properties
Formation energy without anion corrections, eV/atom: 0.109
DOS at the Fermi energy, states/eV/f.u.: 1.4
Electronic total energy, eV/atom: -5.39

Cell lengths 9.465, 9.465, 2.753 Å; angles 90.00, 90.00, 90.00 degrees
Element x y z (fractional)
O1 0.705 0.851 0.000
O2 0.851 0.295 0.000
O3 0.295 0.149 0.000
O4 0.407 0.789 0.500
O5 0.593 0.211 0.500
O6 0.211 0.407 0.500
O7 0.789 0.593 0.500
O8 0.149 0.705 0.000
Pt1 0.601 0.696 0.500
Pt2 0.357 0.959 0.000
Pt3 0.696 0.399 0.500
Pt4 0.041 0.357 0.000
Pt5 0.643 0.041 0.000
Pt6 0.304 0.601 0.500
Pt7 0.399 0.304 0.500
Pt8 0.959 0.643 0.000



# 14
Here is a geometry-optimized TaAl2Sb structure from Alexandria. Energies are from PBE.

## Properties
Formation energy without anion corrections, eV/atom: 0.166
DOS at the Fermi energy, states/eV/f.u.: 2.7
Electronic total energy, eV/atom: -5.70

Cell lengths 5.299, 5.299, 4.962 Å; angles 82.06, 82.06, 32.94 degrees
Element x y z (fractional)
Sb1 0.750 0.750 0.750
Al1 0.511 0.511 0.480
Al2 0.989 0.989 0.020
Ta1 0.250 0.250 0.250



# 15
Here is a geometry-optimized La2TlGe structure from Alexandria. Energies are from PBE.

## Properties
DOS at the Fermi energy, states/eV/f.u.: 3.1
Electronic total energy, eV/atom: -4.82

Cell lengths 4.362, 6.393, 9.417 Å; angles 112.21, 90.00, 90.00 degrees
Site moments in Bohr magnetons follow the coordinates.
Element x y z (fractional)
Tl1 0.250 0.331 0.207  0.01
Tl2 0.750 0.669 0.793  0.01
Ge1 0.250 0.336 0.708  -0.01
Ge2 0.750 0.664 0.292  -0.01
La1 0.250 0.783 0.559  0.12
La2 0.750 0.217 0.441  0.12
La3 0.750 0.229 0.918  0.09
La4 0.250 0.771 0.082  0.09



# 16
Here is a geometry-optimized Np2Be7Au12 structure from Alexandria. Energies are from PBE.

## Properties
DOS at the Fermi energy, states/eV/f.u.: 25.7
Electronic total energy, eV/atom: -4.47

Cell lengths 4.041, 9.881, 9.881 Å; angles 120.00, 90.00, 90.00 degrees
Site moments in Bohr magnetons follow the coordinates.
Element x y z (fractional)
Au1 0.247 0.120 0.259  0.01
Au2 0.247 0.139 0.880  0.01
Au3 0.249 0.457 0.379  0.01
Au4 0.249 0.621 0.079  0.01
Au5 0.751 0.079 0.457  0.01
Au6 0.753 0.861 0.120  0.01
Au7 0.249 0.921 0.543  0.01
Au8 0.753 0.880 0.741  0.01
Au9 0.753 0.259 0.139  0.01
Au10 0.247 0.741 0.861  0.01
Au11 0.751 0.379 0.921  0.01
Au12 0.751 0.543 0.621  0.01
Be1 0.253 0.713 0.603  0.00
Be2 0.253 0.397 0.110  0.00
Be3 0.747 0.110 0.713  0.00
Be4 0.253 0.890 0.287  0.00
Be5 0.500 0.000 0.000  0.01
Be6 0.747 0.603 0.890  0.00
Be7 0.747 0.287 0.397  0.00
Np1 0.248 0.333 0.667  3.83
Np2 0.752 0.667 0.333  3.83



# 17
Here is a geometry-optimized Mn2IrOs structure from Alexandria. Energies are from PBE.

## Properties
DOS at the Fermi energy, states/eV/f.u.: 3.1
Energy above the most stable polymorph in this dataset, meV/atom: 293.5
Electronic total energy, eV/atom: -9.43

Cell lengths 2.681, 2.681, 8.598 Å; angles 90.00, 90.00, 115.08 degrees
Site moments in Bohr magnetons follow the coordinates.
Element x y z (fractional)
Mn1 0.000 0.000 0.498  3.07
Mn2 0.000 0.000 0.002  3.07
Ir1 0.500 0.500 0.750  0.34
Os1 0.500 0.500 0.250  -0.09



# 18
Here is a geometry-optimized LaTb2Ho2Tm structure from Alexandria. Energies are from PBE.

## Properties
DOS at the Fermi energy, states/eV/f.u.: 9.1
Electronic total energy, eV/atom: -4.47

Cell lengths 3.524, 16.123, 6.920 Å; angles 90.00, 90.00, 90.00 degrees
Element x y z (fractional)
Ho1 0.000 0.344 0.751
Ho2 0.500 0.156 0.251
Ho3 0.000 0.656 0.249
Ho4 0.500 0.844 0.749
Tm1 0.500 0.500 0.000
Tm2 0.000 0.000 0.500
Tb1 0.000 0.342 0.248
Tb2 0.500 0.158 0.748
Tb3 0.000 0.658 0.752
Tb4 0.500 0.842 0.252
La1 0.500 0.500 0.500
La2 0.000 0.000 0.000



# 19
Here is a geometry-optimized ZnHgPO2 structure from Alexandria. Energies are from PBE.

## Properties
Formation energy without anion corrections, eV/atom: 0.730
DOS at the Fermi energy, states/eV/f.u.: 5.5
Energy above the most stable polymorph in this dataset, meV/atom: 1062.7
Electronic total energy, eV/atom: -2.65

Cell lengths 4.090, 4.090, 5.305 Å; angles 90.00, 90.00, 90.00 degrees
Site moments in Bohr magnetons follow the coordinates.
Element x y z (fractional)
O1 0.000 0.500 0.000  0.16
O2 0.500 0.000 0.000  0.16
P1 0.000 0.000 0.500  0.03
Hg1 0.000 0.000 0.000  0.02
Zn1 0.500 0.500 0.500  -0.01



# 20
Here is a geometry-optimized Na2NpZn2O6 structure from Alexandria. Energies are from PBE.

## Properties
Formation energy without anion corrections, eV/atom: -1.959
Electronic total energy, eV/atom: -6.31

Cell lengths 5.404, 5.404, 5.689 Å; angles 90.00, 90.00, 120.00 degrees
Site moments in Bohr magnetons follow the coordinates.
Element x y z (fractional)
O1 0.000 0.327 0.201  -0.04
O2 0.673 0.673 0.201  -0.04
O3 0.000 0.673 0.799  -0.04
O4 0.327 0.327 0.799  -0.04
O5 0.673 0.000 0.799  -0.04
O6 0.327 0.000 0.201  -0.04
Zn1 0.333 0.667 0.000  0.00
Zn2 0.667 0.333 0.000  0.00
Na1 0.333 0.667 0.500  0.00
Na2 0.667 0.333 0.500  0.00
Np1 0.000 0.000 0.000  1.24